# 1
Computed, not measured: a relaxed TlSb6 crystal at the PBE level of DFT.

abc: 7.318 7.318 7.318
angles: 109.47 109.47 109.47
Sites, in units of the cell vectors:
Tl  0.000  0.000  0.000
Sb  0.250  0.500  0.750
Sb  0.250  0.750  0.500
Sb  0.500  0.250  0.750
Sb  0.500  0.750  0.250
Sb  0.750  0.250  0.500
Sb  0.750  0.500  0.250

Values from the calculation:
energy = -3.5357 eV per atom
E_form (uncorrected) = 0.3358 eV per atom

---

# 2
Computed, not measured: a relaxed Na2BeGeF6 crystal at the PBE level of DFT.

abc: 6.416 6.416 6.416
angles: 50.90 50.90 50.90
Sites, in units of the cell vectors:
Na  0.000  0.000  0.000
Na  0.493  0.493  0.493
Be  0.742  0.742  0.742
Ge  0.199  0.199  0.199
F  0.028  0.492  0.721
F  0.270  0.948  0.549
F  0.492  0.721  0.028
F  0.549  0.270  0.948
F  0.721  0.028  0.492
F  0.948  0.549  0.270

Values from the calculation:
energy = -4.9052 eV per atom
E_form (uncorrected) = -2.6842 eV per atom

---

# 3
Computed, not measured: a relaxed NaLi2VCl6 crystal at the PBE level of DFT.

abc: 7.006 7.006 7.006
angles: 54.79 54.79 54.79
Sites, in units of the cell vectors:
Na  0.000  0.000  0.000
Li  0.296  0.296  0.296
Li  0.807  0.807  0.807
V  0.488  0.488  0.488
Cl  0.099  0.686  0.430
Cl  0.244  0.568  0.871
Cl  0.430  0.099  0.686
Cl  0.568  0.871  0.244
Cl  0.686  0.430  0.099
Cl  0.871  0.244  0.568

Values from the calculation:
energy = -4.0806 eV per atom
E_form (uncorrected) = -1.5461 eV per atom

---

# 4
Computed, not measured: a relaxed BaAlAu crystal at the PBE level of DFT.

abc: 5.155 5.155 5.155
angles: 60.00 60.00 60.00
Sites, in units of the cell vectors:
Ba  0.000  0.000  0.000
Al  0.500  0.500  0.500
Au  0.750  0.750  0.750

Values from the calculation:
energy = -3.1622 eV per atom
calculated formation energy = -181 meV/atom

---

# 5
Computed, not measured: a relaxed Pm2YAgS5 crystal at the PBE level of DFT.

abc: 8.520 8.520 12.104
angles: 90.00 90.00 153.00
Sites, in units of the cell vectors:
Pm  0.111  0.889  0.500
Pm  0.125  0.875  0.118
Pm  0.875  0.125  0.618
Pm  0.889  0.111  0.000
Y  0.194  0.806  0.820
Y  0.806  0.194  0.320
Ag  0.467  0.533  0.284
Ag  0.533  0.467  0.784
S  0.046  0.954  0.900
S  0.288  0.712  0.478
S  0.305  0.695  0.159
S  0.358  0.642  0.815
S  0.499  0.501  0.589
S  0.501  0.499  0.089
S  0.642  0.358  0.315
S  0.695  0.305  0.659
S  0.712  0.288  0.978
S  0.954  0.046  0.400

Values from the calculation:
energy = -6.0612 eV per atom
E_form (uncorrected) = -1.6775 eV per atom

---

# 6
Computed, not measured: a relaxed LiSc3Si crystal at the PBE level of DFT.

abc: 5.120 5.120 5.120
angles: 90.00 90.00 90.00
Sites, in units of the cell vectors:
Li  0.000  0.000  0.000
Sc  0.000  0.500  0.500
Sc  0.500  0.000  0.500
Sc  0.500  0.500  0.000
Si  0.500  0.500  0.500

Values from the calculation:
energy = -5.1970 eV per atom
E_form (uncorrected) = 0.0692 eV per atom

---

# 7
Computed, not measured: a relaxed BaP2RuPb crystal at the PBE level of DFT.

abc: 5.220 5.220 6.403
angles: 90.00 90.00 90.00
Sites, in units of the cell vectors:
Ba  0.000  0.000  0.000
P  0.000  0.500  0.500
P  0.500  0.000  0.500
Ru  0.500  0.500  0.000
Pb  0.000  0.000  0.500

Values from the calculation:
energy = -3.6568 eV per atom
calculated formation energy = 1489 meV/atom

---

# 8
Computed, not measured: a relaxed TaTi2Te4 crystal at the PBE level of DFT.

abc: 7.421 7.421 7.211
angles: 119.02 119.02 29.58
Sites, in units of the cell vectors:
Ta  0.000  0.000  0.000
Ti  0.244  0.244  0.294
Ti  0.756  0.756  0.706
Te  0.106  0.106  0.450
Te  0.364  0.364  0.046
Te  0.636  0.636  0.954
Te  0.894  0.894  0.550

Values from the calculation:
energy = -6.2496 eV per atom
E_form (uncorrected) = -0.5055 eV per atom

---

# 9
Computed, not measured: a relaxed Co2ReTc crystal at the PBE level of DFT.

abc: 4.181 4.181 4.181
angles: 60.00 60.00 60.00
Sites, in units of the cell vectors:
Co  0.250  0.250  0.250
Co  0.750  0.750  0.750
Re  0.000  0.000  0.000
Tc  0.500  0.500  0.500

Values from the calculation:
energy = -8.9450 eV per atom
calculated formation energy = 312 meV/atom

---

# 10
Computed, not measured: a relaxed CeGdInBi crystal at the PBE level of DFT.

abc: 5.500 5.500 5.500
angles: 60.00 60.00 60.00
Sites, in units of the cell vectors:
Ce  0.000  0.000  0.000
Gd  0.500  0.500  0.500
In  0.250  0.250  0.250
Bi  0.750  0.750  0.750

Values from the calculation:
energy = -7.1274 eV per atom
calculated formation energy = -469 meV/atom

---

# 11
Computed, not measured: a relaxed TeAs2 crystal at the PBE level of DFT.

abc: 6.418 6.418 5.787
angles: 90.00 90.00 142.38
Sites, in units of the cell vectors:
Te  0.164  0.836  0.750
Te  0.836  0.164  0.250
As  0.154  0.846  0.250
As  0.490  0.510  0.750
As  0.510  0.490  0.250
As  0.846  0.154  0.750

Values from the calculation:
energy = -4.0482 eV per atom
E_form (uncorrected) = 0.0987 eV per atom

---

# 12
Computed, not measured: a relaxed CeNd2Dy crystal at the PBE level of DFT.

abc: 5.095 5.095 5.088
angles: 90.00 90.00 90.00
Sites, in units of the cell vectors:
Ce  0.000  0.000  0.000
Nd  0.000  0.500  0.500
Nd  0.500  0.000  0.500
Dy  0.500  0.500  0.000

Values from the calculation:
energy = -4.9402 eV per atom
calculated formation energy = 78 meV/atom

---

Summary of V in Å³/cell
302 147 214 97 399 134 174 170 52 118 145 132
(order as listed above)
Summary of calculated density in g cm⁻³
5.15 2.74 2.34 6.19 5.39 2.10 4.83 7.71 12.92 8.77 6.33 7.43
(order as listed above)
Summary of M_tot in μB per atom
0.00 0.00 0.20 0.08 0.00 0.46 0.63 0.00 0.91 2.21 0.00 0.18
(order as listed above)